Density functional theory data (GGA-PBE) for a relaxed structure of Ba3ZrAl.

```
5
Lattice="6.211 0.000 0.000 0.000 6.211 0.000 0.000 0.000 6.211" Properties=species:S:1:pos:R:3 pbc="T T T"
Ba 0.000 0.000 3.105
Ba 0.000 3.105 0.000
Ba 3.105 0.000 0.000
Zr 0.000 0.000 0.000
Al 3.105 3.105 3.105
```

The calculation puts the formation energy at 839 meV/atom. For the density of states at the Fermi level, the calculation gives 6.9 states/eV per cell. The energy above the most stable polymorph in this dataset comes out at 0.0 meV/atom. Its uncorrected energy is -13.9 eV for the cell shown.